VSnH2 | PBE-GGA | relaxed

The structure belongs to space group Fm-3m (No. 225); the cell edges are 5.647, 5.647 and 5.647 Å and the angles 90.00°, 90.00° and 90.00°. Symmetry generates all atoms from V at (0.000, 0.000, 0.000), Sn at (0.000, 0.000, 0.500) and H at (0.250, 0.250, 0.250).

The total magnetization is 8.7 μB per cell. The value obtained for the final energy is -4.206 eV per atom.

---

Re5Ir | PBE-GGA | relaxed

The structure belongs to space group F-43m (No. 216); the cell edges are 7.215, 7.215 and 7.215 Å and the angles 90.00°, 90.00° and 90.00°. Symmetry generates all atoms from Re at (0.000, 0.000, 0.000), Re at (0.124, 0.124, 0.624) and Ir at (0.250, 0.250, 0.250).

The total magnetization is 0.0 μB per cell. The value obtained for the formation enthalpy at 0 K is 0.4210 eV/atom.

---

TaMnHRh2 | PBE-GGA | relaxed

The structure belongs to space group P4/mmm (No. 123); the cell edges are 3.926, 3.926 and 3.890 Å and the angles 90.00°, 90.00° and 90.00°. Symmetry generates all atoms from Ta at (0.000, 0.000, 0.000), Mn at (0.500, 0.500, 0.000), H at (0.500, 0.500, 0.500) and Rh at (0.000, 0.500, 0.500).

The total magnetization is 2.2 μB per cell. The value obtained for the final energy is -8.157 eV per atom.